No. 1
Compound: HfFe3Se
Source: the Alexandria database
Functional: GGA-PBE
Structure: relaxed

a = 4.641 Å, b = 4.641 Å, c = 4.641 Å
α = 90.00°, β = 90.00°, γ = 90.00°
Fractional positions:
Hf: 0.000 0.000 0.000
Fe: 0.000 0.000 0.500
Fe: 0.000 0.500 0.000
Fe: 0.500 0.000 0.000
Se: 0.500 0.500 0.500

As for the energy above the most stable polymorph in this dataset: 506 kJ/mol of formula units. The crystal system is cubic. The value obtained for the uncorrected formation energy is 1486.7 meV per atom.


No. 2
Compound: LiPb
Source: the Alexandria database
Functional: GGA-PBE
Structure: relaxed

a = 5.051 Å, b = 5.051 Å, c = 5.051 Å
α = 40.02°, β = 40.02°, γ = 40.02°
Fractional positions:
Li: 0.000 0.000 0.000
Pb: 0.500 0.500 0.500

The energy of formation from the pure elements is -0.186 eV/atom. The crystal system is trigonal.


No. 3
Compound: LiCr2In
Source: the Alexandria database
Functional: GGA-PBE
Structure: relaxed

a = 2.650 Å, b = 2.650 Å, c = 8.604 Å
α = 90.00°, β = 90.00°, γ = 90.00°
Fractional positions:
Li: 0.000 0.000 0.000
Cr: 0.500 0.500 0.247
Cr: 0.500 0.500 0.753
In: 0.000 0.000 0.500

The energy of formation from the pure elements is 0.797 eV/atom. The crystal system is tetragonal.


No. 4
Compound: K3TcOs
Source: the Alexandria database
Functional: GGA-PBE
Structure: relaxed

a = 6.130 Å, b = 6.130 Å, c = 6.130 Å
α = 90.00°, β = 90.00°, γ = 90.00°
Fractional positions:
K: 0.000 0.000 0.500
K: 0.000 0.500 0.000
K: 0.500 0.000 0.000
Tc: 0.000 0.000 0.000
Os: 0.500 0.500 0.500

The energy of formation from the pure elements is 2.333 eV/atom. The crystal system is cubic.


No. 5
Compound: NbP2RhCl
Source: the Alexandria database
Functional: GGA-PBE
Structure: relaxed

a = 4.555 Å, b = 4.555 Å, c = 4.729 Å
α = 90.00°, β = 90.00°, γ = 90.00°
Fractional positions:
Nb: 0.000 0.000 0.000
P: 0.000 0.500 0.500
P: 0.500 0.000 0.500
Rh: 0.500 0.500 0.500
Cl: 0.500 0.500 0.000

As for the energy above the most stable polymorph in this dataset: 17 kJ/mol of formula units. The crystal system is tetragonal. The value obtained for the uncorrected formation energy is 675.8 meV per atom.


No. 6
Compound: SrScCu17
Source: the Alexandria database
Functional: GGA-PBE
Structure: relaxed

a = 6.471 Å, b = 6.471 Å, c = 6.471 Å
α = 82.76°, β = 82.76°, γ = 82.76°
Fractional positions:
Sr: 0.000 0.000 0.000
Sc: 0.321 0.321 0.321
Cu: 0.006 0.006 0.499
Cu: 0.006 0.499 0.006
Cu: 0.156 0.656 0.656
Cu: 0.316 0.316 0.804
Cu: 0.316 0.804 0.316
Cu: 0.363 0.652 0.954
Cu: 0.363 0.954 0.652
Cu: 0.499 0.006 0.006
Cu: 0.555 0.555 0.555
Cu: 0.652 0.363 0.954
Cu: 0.652 0.954 0.363
Cu: 0.656 0.156 0.656
Cu: 0.656 0.656 0.156
Cu: 0.749 0.749 0.749
Cu: 0.804 0.316 0.316
Cu: 0.954 0.363 0.652
Cu: 0.954 0.652 0.363

The energy of formation from the pure elements is -0.045 eV/atom. The crystal system is trigonal.


No. 7
Compound: KSiTe2
Source: the Alexandria database
Functional: GGA-PBE
Structure: relaxed

a = 3.698 Å, b = 3.698 Å, c = 8.704 Å
α = 90.00°, β = 90.00°, γ = 97.00°
Fractional positions:
K: 0.000 0.000 0.000
Si: 0.000 0.000 0.500
Te: 0.500 0.500 0.297
Te: 0.500 0.500 0.703

The crystal system is orthorhombic. The value obtained for the uncorrected formation energy is -4.3 meV per atom.


No. 8
Compound: RbSb2Pt
Source: the Alexandria database
Functional: GGA-PBE
Structure: relaxed

a = 8.212 Å, b = 8.212 Å, c = 8.212 Å
α = 30.31°, β = 30.31°, γ = 30.31°
Fractional positions:
Rb: 0.000 0.000 0.000
Sb: 0.213 0.213 0.213
Sb: 0.449 0.449 0.449
Pt: 0.830 0.830 0.830

As for the energy above the most stable polymorph in this dataset: 0 kJ/mol of formula units. The crystal system is trigonal. The value obtained for the uncorrected formation energy is -472.7 meV per atom.


| no. | total magnetic moment (μB/f.u.) | E (Ry per atom) | density (g cm⁻³) |
| --- | --- | --- | --- |
| 1 | 6.13 | -0.461 | 7.06 |
| 2 | 0.00 | -0.220 | 7.40 |
| 3 | 0.02 | -0.381 | 6.20 |
| 4 | 6.00 | -0.194 | 2.92 |
| 5 | 1.87 | -0.393 | 4.96 |
| 6 | 0.00 | -0.304 | 7.60 |
| 7 | 0.00 | -0.236 | 4.53 |
| 8 | 0.00 | -0.315 | 6.96 |